Entry 1:
First-principles (PBE) data for a relaxed structure of Sr2YPdO5, as listed in the Alexandria database.

extended XYZ file:
```
18
Lattice="6.0780 0.0000 0.0000 0.0000 6.5183 0.0000 0.0000 0.0000 6.5183" Properties=species:S:1:pos:R:3 pbc="T T T"
Sr 3.0390 5.4512 4.3263
Y 0.0000 3.2592 3.2592
Pd 0.0000 0.0000 3.2592
O 4.7858 5.4589 2.1997
O 1.2922 5.4589 2.1997
Sr 3.0390 2.1920 5.4512
O 1.2922 4.3186 5.4589
O 1.2922 2.1997 1.0595
O 3.0390 3.2592 3.2592
Y 0.0000 0.0000 0.0000
Sr 3.0390 4.3263 1.0671
O 4.7858 2.1997 1.0595
Sr 3.0390 1.0671 2.1920
O 4.7858 4.3186 5.4589
O 1.2922 1.0595 4.3186
O 4.7858 1.0595 4.3186
O 3.0390 0.0000 0.0000
Pd 0.0000 3.2592 0.0000
```

Values from the calculation:
Space group: No. 127
V in Å³/f.u.: 129.12
Spin magnetization in Bohr magnetons per cell: 2.1
Formation energy (no corrections) in eV per atom: -2.012

=====

Entry 2:
First-principles (PBE) data for a relaxed structure of SrY2PdO, as listed in the Alexandria database.

extended XYZ file:
```
5
Lattice="4.6717 0.0000 0.0000 0.0000 4.6717 0.0000 0.0000 0.0000 5.2205" Properties=species:S:1:pos:R:3 pbc="T T T"
Pd 2.3359 2.3359 2.6102
Sr 0.0000 0.0000 2.6102
O 0.0000 0.0000 0.0000
Y 2.3359 0.0000 0.0000
Y 0.0000 2.3359 0.0000
```

Values from the calculation:
Space group: No. 123
V in Å³/f.u.: 113.94
Spin magnetization in Bohr magnetons per cell: 0.0
Formation energy (no corrections) in eV per atom: -1.260

=====

Entry 3:
First-principles (PBE) data for a relaxed structure of SrY2PdO5, as listed in the Alexandria database.

extended XYZ file:
```
18
Lattice="5.8654 0.0000 0.0000 0.0000 6.5265 0.0000 0.0000 0.0000 6.5265" Properties=species:S:1:pos:R:3 pbc="T T T"
O 1.4979 0.9394 4.2027
O 2.9327 0.0000 0.0000
Sr 0.0000 0.0000 0.0000
O 1.4979 5.5870 2.3238
O 2.9327 3.2632 3.2632
Pd 0.0000 3.2632 0.0000
Pd 0.0000 0.0000 3.2632
O 4.3675 4.2027 5.5870
Sr 0.0000 3.2632 3.2632
O 4.3675 0.9394 4.2027
O 1.4979 4.2027 5.5870
Y 2.9327 2.1325 5.3958
Y 2.9327 1.1307 2.1325
O 4.3675 2.3238 0.9394
Y 2.9327 5.3958 4.3939
O 1.4979 2.3238 0.9394
O 4.3675 5.5870 2.3238
Y 2.9327 4.3939 1.1307
```

Values from the calculation:
Space group: No. 127
V in Å³/f.u.: 124.92
Spin magnetization in Bohr magnetons per cell: 0.0
Formation energy (no corrections) in eV per atom: -2.640

=====

Entry 4:
First-principles (PBE) data for a relaxed structure of Sr2ZnPdO5, as listed in the Alexandria database.

extended XYZ file:
```
18
Lattice="3.3336 0.0000 0.0000 -1.6668 7.1619 0.0000 0.0000 0.0000 10.5368" Properties=species:S:1:pos:R:3 pbc="T T T"
O 1.6668 0.0305 8.2656
Sr 1.6668 5.3083 8.4581
Pd 0.0000 3.1589 0.2663
O 0.0000 5.1763 10.4696
O 1.6668 2.9296 9.5446
Sr 1.6668 5.8082 1.7304
O 0.0000 3.8749 6.8295
Sr 0.0000 1.3538 6.9988
O 0.0000 7.1314 2.9971
Sr 0.0000 1.8536 3.1897
O 1.6668 1.9856 5.2012
Zn 1.6668 0.8039 10.0063
Zn 0.0000 6.3581 4.7379
O 0.0000 4.2323 4.2762
O 1.6668 6.0999 5.7957
O 0.0000 1.0620 0.5273
O 1.6668 3.2870 1.5611
Pd 1.6668 4.0031 5.5348
```

Values from the calculation:
Space group: No. 36
V in Å³/f.u.: 125.78
Spin magnetization in Bohr magnetons per cell: 0.0
Formation energy (no corrections) in eV per atom: -1.707

=====

Entry 5:
First-principles (PBE) data for a relaxed structure of Sr2ZnPdO4, as listed in the Alexandria database.

extended XYZ file:
```
8
Lattice="5.3598 0.2064 0.3162 -2.0970 4.9369 -0.3162 -2.0970 -2.2762 4.3922" Properties=species:S:1:pos:R:3 pbc="T T T"
Pd 0.5829 -0.3698 3.3732
O -1.1301 -0.4624 2.2037
Sr 0.0000 0.0000 0.0000
Zn -2.0970 1.3303 2.0380
O 3.9517 2.2790 0.5792
O -1.7191 2.5771 3.6124
O 1.2290 1.3404 2.3890
Sr 0.5829 3.2368 1.0190
```

Values from the calculation:
Space group: No. 82
V in Å³/f.u.: 119.18
Spin magnetization in Bohr magnetons per cell: 0.0
Formation energy (no corrections) in eV per atom: -1.739

=====

Entry 6:
First-principles (PBE) data for a relaxed structure of SrZn3Pd4O12, as listed in the Alexandria database.

extended XYZ file:
```
20
Lattice="6.6555 0.0000 0.0000 -2.2185 6.2748 0.0000 -2.2185 -3.1374 5.4342" Properties=species:S:1:pos:R:3 pbc="T T T"
O -2.2781 3.2847 3.7565
Zn 2.2185 3.1374 0.0000
O 4.4966 -0.1473 1.6777
O -1.6377 -0.6422 4.4678
Pd -1.1092 3.1374 0.0000
Pd 1.1092 1.5687 2.7171
O 3.8562 3.7796 0.9664
O 2.2781 -1.6108 4.7229
Zn -2.2185 1.5687 2.7171
O 1.6377 3.5481 2.7901
O 2.1589 1.3793 0.9664
O 0.0596 1.7581 4.4678
Sr 0.0000 0.0000 0.0000
O 0.5808 -0.4107 2.6441
Pd 3.3277 0.0000 0.0000
Pd -1.1092 -1.5687 2.7171
O 2.7993 1.0529 3.7565
Zn 2.2185 -1.5687 2.7171
O -0.0596 4.7483 0.7113
O -0.5808 2.0845 1.6777
```

Values from the calculation:
Space group: No. 204
V in Å³/f.u.: 226.94
Spin magnetization in Bohr magnetons per cell: 0.0
Formation energy (no corrections) in eV per atom: -0.847

=====

Entry 7:
First-principles (PBE) data for a relaxed structure of SrZnPdO4, as listed in the Alexandria database.

extended XYZ file:
```
14
Lattice="5.6722 0.0417 0.0000 -2.2402 5.2112 0.0000 0.0000 0.0000 7.2578" Properties=species:S:1:pos:R:3 pbc="T T T"
O 2.5105 4.1236 1.8144
O 0.9215 1.1293 5.4433
O 0.6640 1.2975 1.8144
O 3.8928 1.2042 3.6973
Pd 4.2870 0.9467 1.8144
O -0.4609 4.0487 3.5605
O 2.7679 3.9554 5.4433
Sr 1.7160 2.6264 0.0000
O -0.4609 4.0487 0.0684
Sr 1.7160 2.6264 3.6289
O 3.8928 1.2042 7.1894
Pd -0.8550 4.3062 5.4433
Zn -1.2214 4.5455 1.8144
Zn 4.6533 0.7074 5.4433
```

Values from the calculation:
Space group: No. 63
V in Å³/f.u.: 107.60
Spin magnetization in Bohr magnetons per cell: 4.0
Formation energy (no corrections) in eV per atom: -1.077

=====

Entry 8:
First-principles (PBE) data for a relaxed structure of Sr3Zn2PdO6, as listed in the Alexandria database.

extended XYZ file:
```
12
Lattice="5.8217 0.0000 0.0000 -2.9108 5.0417 0.0000 0.0000 0.0000 6.4769" Properties=species:S:1:pos:R:3 pbc="T T T"
Sr 2.9108 1.6806 2.4468
Sr 0.0000 0.0000 0.0000
O 1.4738 4.2121 1.9739
O -1.4738 4.2121 1.9739
O 1.4370 0.8297 4.5030
Zn 0.0000 3.3612 1.0260
Zn 2.9108 1.6806 5.4510
O 4.3847 0.8297 4.5030
Sr 0.0000 3.3612 4.0301
O 0.0000 1.6593 1.9739
Pd 0.0000 0.0000 3.2385
O 2.9108 3.3824 4.5030
```

Values from the calculation:
Space group: No. 164
V in Å³/f.u.: 190.11
Spin magnetization in Bohr magnetons per cell: 0.0
Formation energy (no corrections) in eV per atom: -1.602

=====

Entry 9:
First-principles (PBE) data for a relaxed structure of SrZnPd2O, as listed in the Alexandria database.

extended XYZ file:
```
5
Lattice="4.4447 0.0000 0.0000 0.0000 4.7018 0.0000 0.0000 0.0000 4.4447" Properties=species:S:1:pos:R:3 pbc="T T T"
Pd 2.2223 0.0000 0.0000
Sr 0.0000 2.3509 0.0000
Zn 2.2223 2.3509 2.2223
O 0.0000 0.0000 0.0000
Pd 0.0000 0.0000 2.2223
```

Values from the calculation:
Space group: No. 123
V in Å³/f.u.: 92.89
Spin magnetization in Bohr magnetons per cell: 0.0
Formation energy (no corrections) in eV per atom: -0.483

=====

Entry 10:
First-principles (PBE) data for a relaxed structure of Sr2ZrPdO6, as listed in the Alexandria database.

extended XYZ file:
```
20
Lattice="-2.5776 1.3768 -4.9548 -0.1963 -5.5619 -1.4433 -7.2491 -0.6798 3.6055" Properties=species:S:1:pos:R:3 pbc="T T T"
O -1.0987 -3.6203 -2.2817
Zr -3.7227 -3.1209 1.0811
Sr -8.0157 0.7117 -2.2595
Zr -1.2888 0.6884 -2.4774
O -4.2970 -1.7196 -4.4929
O -4.2698 -3.9403 -0.7736
O -5.7259 -3.1454 1.7003
Sr -3.1901 -2.1229 -2.2300
O -6.0257 -3.6581 -3.0566
O -9.1941 -3.9022 -1.5288
O -3.2963 0.5413 -1.8900
Pd -0.0981 -2.7810 -0.7217
O -6.7266 -5.4063 -0.9026
O -5.7532 -0.9247 -2.0190
Pd -4.9133 0.3485 -0.6746
Sr -2.0072 -5.5767 -0.5332
O -3.9973 -1.2069 0.2639
O -0.8289 -0.9628 -1.2638
Sr -6.8328 -2.7421 -0.5627
O -8.9242 -1.2447 -0.5109
```

Values from the calculation:
Space group: No. 14
V in Å³/f.u.: 134.35
Spin magnetization in Bohr magnetons per cell: 0.0
Formation energy (no corrections) in eV per atom: -2.329

=====

Entry 11:
First-principles (PBE) data for a relaxed structure of Ta2PdO, as listed in the Alexandria database.

extended XYZ file:
```
8
Lattice="-0.0591 0.3831 -4.9049 -3.9625 -2.9112 -0.1796 -5.4832 3.4371 -2.1333" Properties=species:S:1:pos:R:3 pbc="T T T"
Pd -3.7765 1.2780 -4.7903
Pd 0.0000 0.0000 0.0000
Ta -1.8971 0.6961 -3.1261
O -2.0108 -1.2641 -2.5423
Ta -6.0206 1.3358 -3.5248
Ta -7.2311 0.6596 -6.0309
O -5.7282 -0.3691 -2.4276
Ta -3.8607 -0.8737 -1.7540
```

Values from the calculation:
Space group: No. 122
V in Å³/f.u.: 70.92
Spin magnetization in Bohr magnetons per cell: 0.0
Formation energy (no corrections) in eV per atom: -0.470

=====

Entry 12:
First-principles (PBE) data for a relaxed structure of TaPd3O, as listed in the Alexandria database.

extended XYZ file:
```
5
Lattice="-4.1176 -1.8558 -1.6820 1.9730 -4.3971 0.0216 -1.5429 -0.6701 4.5164" Properties=species:S:1:pos:R:3 pbc="T T T"
Pd 0.9865 -2.1986 0.0108
Pd -0.7715 -0.3351 2.2582
Ta 0.0000 0.0000 0.0000
O -1.8437 -3.4615 1.4280
Pd -2.0588 -0.9279 -0.8410
```

Values from the calculation:
Space group: No. 221
V in Å³/f.u.: 111.95
Spin magnetization in Bohr magnetons per cell: 0.0
Formation energy (no corrections) in eV per atom: 1.385

=====

Entry 13:
First-principles (PBE) data for a relaxed structure of TaPd3O, as listed in the Alexandria database.

extended XYZ file:
```
5
Lattice="4.2282 0.0000 0.0000 0.0000 4.2282 0.0000 0.0000 0.0000 4.2282" Properties=species:S:1:pos:R:3 pbc="T T T"
Pd 2.1141 0.0000 0.0000
O 0.0000 0.0000 0.0000
Pd 0.0000 0.0000 2.1141
Ta 2.1141 2.1141 2.1141
Pd 0.0000 2.1141 0.0000
```

Values from the calculation:
Space group: No. 221
V in Å³/f.u.: 75.59
Spin magnetization in Bohr magnetons per cell: 0.0
Formation energy (no corrections) in eV per atom: 0.251

=====

Entry 14:
First-principles (PBE) data for a relaxed structure of TaPdO4, as listed in the Alexandria database.

extended XYZ file:
```
12
Lattice="5.1697 0.0000 -0.2603 0.0000 4.9520 0.0000 -0.3388 0.0000 5.2481" Properties=species:S:1:pos:R:3 pbc="T T T"
O 4.0901 0.8193 1.7644
Ta 2.4154 0.0000 2.4939
O 0.4586 1.7037 4.3914
O 3.3257 3.2954 3.0932
O 3.0435 0.7723 4.2612
O 1.5052 1.6567 1.8946
Pd 2.5849 2.4760 -0.1302
O 0.7408 4.1327 3.2233
O 1.7874 4.1798 0.7265
O 4.3723 3.2483 0.5964
Ta -0.1694 2.4760 2.6240
Pd 0.0000 0.0000 0.0000
```

Values from the calculation:
Space group: No. 14
V in Å³/f.u.: 66.96
Spin magnetization in Bohr magnetons per cell: 1.7
Formation energy (no corrections) in eV per atom: -1.606

=====

Entry 15:
First-principles (PBE) data for a relaxed structure of Ta3PdO, as listed in the Alexandria database.

extended XYZ file:
```
5
Lattice="4.2289 0.0000 0.0000 0.0000 4.2289 0.0000 0.0000 0.0000 4.2289" Properties=species:S:1:pos:R:3 pbc="T T T"
Ta 2.1144 0.0000 0.0000
O 0.0000 0.0000 0.0000
Ta 0.0000 2.1144 0.0000
Pd 2.1144 2.1144 2.1144
Ta 0.0000 0.0000 2.1144
```

Values from the calculation:
Space group: No. 221
V in Å³/f.u.: 75.63
Spin magnetization in Bohr magnetons per cell: 0.0
Formation energy (no corrections) in eV per atom: -0.603

=====

Entry 16:
First-principles (PBE) data for a relaxed structure of TaTePdO6, as listed in the Alexandria database.

extended XYZ file:
```
18
Lattice="5.3596 0.0000 0.0000 -2.6798 4.6416 0.0000 0.0000 0.0000 9.6364" Properties=species:S:1:pos:R:3 pbc="T T T"
O 0.7012 4.6325 8.3107
Ta 2.6798 1.5472 7.2273
Pd 0.0000 0.0000 4.8182
Te 2.6798 1.5472 2.4091
O 1.6984 2.9235 1.3257
O -1.6826 2.9326 8.3107
O 1.6826 2.9326 6.1439
O 0.9814 1.7181 8.3107
O -0.7012 4.6325 6.1439
Pd 0.0000 0.0000 0.0000
Ta 0.0000 3.0944 2.4091
O 1.9787 0.0091 1.3257
O 3.3810 0.0091 3.4925
Te 0.0000 3.0944 7.2273
O 0.9972 1.7090 3.4925
O 3.6613 2.9235 3.4925
O -0.9814 1.7181 6.1439
O 4.3624 1.7090 1.3257
```

Values from the calculation:
Space group: No. 163
V in Å³/f.u.: 119.86
Spin magnetization in Bohr magnetons per cell: 2.2
Formation energy (no corrections) in eV per atom: -1.347

=====

Entry 17:
First-principles (PBE) data for a relaxed structure of TaTePd2O, as listed in the Alexandria database.

extended XYZ file:
```
5
Lattice="-3.8579 -1.0413 2.4297 2.4268 -3.0992 2.5252 0.8811 2.8116 2.6039" Properties=species:S:1:pos:R:3 pbc="T T T"
O 0.0000 0.0000 0.0000
Pd -1.9290 -0.5206 1.2148
Pd 1.2134 -1.5496 1.2626
Te -0.2750 -0.6644 3.7794
Ta 0.4405 1.4058 1.3020
```

Values from the calculation:
Space group: No. 123
V in Å³/f.u.: 86.00
Spin magnetization in Bohr magnetons per cell: 0.0
Formation energy (no corrections) in eV per atom: -0.290

=====

Entry 18:
First-principles (PBE) data for a relaxed structure of Ta2TiPdO, as listed in the Alexandria database.

extended XYZ file:
```
5
Lattice="-0.9486 -3.6196 -3.0549 -1.0692 -2.8715 3.7343 -4.5375 1.3861 -0.2333" Properties=species:S:1:pos:R:3 pbc="T T T"
Ta -0.5346 -1.4358 1.8671
Ti -2.2688 0.6931 -0.1166
Ta -0.4743 -1.8098 -1.5275
Pd 0.0000 0.0000 0.0000
O -3.2777 -2.5525 0.2230
```

Values from the calculation:
Space group: No. 123
V in Å³/f.u.: 110.84
Spin magnetization in Bohr magnetons per cell: 1.8
Formation energy (no corrections) in eV per atom: 1.557

=====

Entry 19:
First-principles (PBE) data for a relaxed structure of TaTi2PdO, as listed in the Alexandria database.

extended XYZ file:
```
5
Lattice="-0.9575 1.8719 -3.5244 -3.5468 1.2619 1.6339 1.8876 3.5371 1.3658" Properties=species:S:1:pos:R:3 pbc="T T T"
Ta 0.9438 1.7685 0.6829
Ti -0.4788 0.9359 -1.7622
Pd -1.3084 3.3354 -0.2624
Ti -1.7734 0.6310 0.8169
O 0.0000 0.0000 0.0000
```

Values from the calculation:
Space group: No. 123
V in Å³/f.u.: 71.33
Spin magnetization in Bohr magnetons per cell: 0.1
Formation energy (no corrections) in eV per atom: -1.060